An optimized crystal structure of Zr2CoC. Source: the Alexandria database, functional PBE-GGA.

Computed properties:
- DOS(E_F): 2.7 states/eV/f.u.
- Energy of formation: 0.09 eV per atom

Structure (CIF):
```
data_Zr2CoC
_chemical_formula_sum 'Zr8 Co4 C4'
_cell_length_a 6.2260
_cell_length_b 6.2260
_cell_length_c 6.8630
_cell_angle_alpha 90.00
_cell_angle_beta 90.00
_cell_angle_gamma 90.00
_symmetry_space_group_name_H-M 'I -4 2 d'
_symmetry_Int_Tables_number 122
_symmetry_space_group_name_Hall 'I -4 2bw'
loop_
_atom_site_label
_atom_site_type_symbol
_atom_site_fract_x
_atom_site_fract_y
_atom_site_fract_z
_atom_site_occupancy
Zr1 Zr 0.2083 0.2500 0.1250 1
Co1 Co 0.0000 0.0000 0.5000 1
C1 C 0.0000 0.0000 0.0000 1
```



An optimized crystal structure of LiCoTc2. Source: the Alexandria database, functional PBE-GGA.

Computed properties:
- DOS(E_F): 4.7 states/eV/f.u.
- E above lowest polymorph: 4.689 kcal/mol of atoms
- Energy of formation: 0.38 eV per atom

Structure (CIF):
```
data_LiCoTc2
_chemical_formula_sum 'Li1 Co1 Tc2'
_cell_length_a 3.1372
_cell_length_b 3.1372
_cell_length_c 5.1279
_cell_angle_alpha 90.00
_cell_angle_beta 90.00
_cell_angle_gamma 90.00
_symmetry_space_group_name_H-M 'P 4/m m m'
_symmetry_Int_Tables_number 123
_symmetry_space_group_name_Hall '-P 4 2'
loop_
_atom_site_label
_atom_site_type_symbol
_atom_site_fract_x
_atom_site_fract_y
_atom_site_fract_z
_atom_site_occupancy
Li1 Li 0.0000 0.0000 0.0000 1
Co1 Co 0.0000 0.0000 0.5000 1
Tc1 Tc 0.5000 0.5000 0.2368 1
```



An optimized crystal structure of CsErOsO6. Source: the Alexandria database, functional PBE-GGA.

Computed properties:
- Formation energy from raw total energies: -1.807 eV per atom

Structure (CIF):
```
data_CsErOsO6
_chemical_formula_sum 'Cs1 Er1 Os1 O6'
_cell_length_a 5.6287
_cell_length_b 5.6287
_cell_length_c 6.5410
_cell_angle_alpha 90.00
_cell_angle_beta 90.00
_cell_angle_gamma 120.00
_symmetry_space_group_name_H-M 'P 3 1 2'
_symmetry_Int_Tables_number 149
loop_
_symmetry_equiv_pos_as_xyz
'x,y,z'
'-y,x-y,z'
'-x+y,-x,z'
'-y,-x,-z'
'-x+y,y,-z'
'x,x-y,-z'
loop_
_atom_site_label
_atom_site_type_symbol
_atom_site_fract_x
_atom_site_fract_y
_atom_site_fract_z
_atom_site_occupancy
Cs1 Cs 0.0000 0.0000 0.0000 1
Er1 Er 0.3333 0.6667 0.5000 1
Os1 Os 0.6667 0.3333 0.5000 1
O1 O 0.4163 0.0458 0.6678 1
```



An optimized crystal structure of Ho2Co17. Source: the Alexandria database, functional PBE-GGA.

Computed properties:
- DOS(E_F): 18.8 states/eV/f.u.
- Energy of formation: -0.11 eV per atom

Structure (CIF):
```
data_Ho2Co17
_chemical_formula_sum 'Ho6 Co51'
_cell_length_a 8.2844
_cell_length_b 8.2844
_cell_length_c 12.0790
_cell_angle_alpha 90.00
_cell_angle_beta 90.00
_cell_angle_gamma 120.00
_symmetry_space_group_name_H-M 'R -3 m'
_symmetry_Int_Tables_number 166
_symmetry_space_group_name_Hall '-R 3 2"'
loop_
_atom_site_label
_atom_site_type_symbol
_atom_site_fract_x
_atom_site_fract_y
_atom_site_fract_z
_atom_site_occupancy
Ho1 Ho 0.0000 0.0000 0.1559 1
Co1 Co 0.0000 0.0000 0.4033 1
Co2 Co 0.0000 0.2893 0.5000 1
Co3 Co 0.0000 0.5000 0.0000 1
Co4 Co 0.0021 0.5010 0.3473 1
```